Density functional theory data (PBE-GGA) for an optimized crystal structure of K7Rb3Pb.

a = 10.0686 Å, b = 10.0686 Å, c = 8.4226 Å
α = 105.31°, β = 105.31°, γ = 83.34°
With the nearest neighbours (Å) after each atom.
Positions (direct):
K 0.0000 0.0000 0.0000  1 Pb 3.87
K 0.0850 0.7365 0.5279  1 Pb 3.63
K 0.3292 0.3292 0.1899  4 Rb 4.38-4.81, 4 K 4.52-4.63
K 0.4372 0.7735 0.3041  1 Pb 3.67
K 0.5302 0.5302 0.7352  1 Pb 3.77
K 0.7365 0.0850 0.5279  1 Pb 3.63
K 0.7735 0.4372 0.3041  1 Pb 3.67
Rb 0.1957 0.1957 0.5805  6 K 4.42-4.81, 2 Rb 4.70
Rb 0.5525 0.9781 0.9235  1 Pb 3.71
Rb 0.9781 0.5525 0.9235  1 Pb 3.71
Pb 0.7554 0.7554 0.6348  6 K 3.63-3.87, 2 Rb 3.71

Properties
D(E_F): 8.92 states/eV/cell
total magnetic moment: 0.000 Bohr magnetons per cell
formation enthalpy at 0 K: -0.059 eV per formula unit
space-group type: No. 8

Density functional theory data (PBE-GGA) for an optimized crystal structure of K6Rb12Pb.

a = 11.6650 Å, b = 11.6650 Å, c = 11.6650 Å
α = 88.98°, β = 88.98°, γ = 88.98°
With the nearest neighbours (Å) after each atom.
Positions (direct):
K 0.1211 0.3602 0.4360  3 K 4.53-4.65, 5 Rb 4.71-5.01
K 0.3602 0.4360 0.1211  3 K 4.53-4.65, 5 Rb 4.71-5.01
K 0.4360 0.1211 0.3602  3 K 4.53-4.65, 5 Rb 4.71-5.01
K 0.5640 0.8789 0.6398  3 K 4.53-4.65, 5 Rb 4.71-5.01
K 0.6398 0.5640 0.8789  3 K 4.53-4.65, 5 Rb 4.71-5.01
K 0.8789 0.6398 0.5640  3 K 4.53-4.65, 5 Rb 4.71-5.01
Rb 0.0249 0.3084 0.9472  1 Pb 3.66
Rb 0.0528 0.9751 0.6916  1 Pb 3.66
Rb 0.2384 0.7435 0.3728  6 Rb 4.72-5.07, 5 K 4.74-5.24
Rb 0.2565 0.6272 0.7616  6 Rb 4.72-5.07, 5 K 4.74-5.24
Rb 0.3084 0.9472 0.0249  1 Pb 3.66
Rb 0.3728 0.2384 0.7435  6 Rb 4.72-5.07, 5 K 4.74-5.24
Rb 0.6272 0.7616 0.2565  6 Rb 4.72-5.07, 5 K 4.74-5.24
Rb 0.6916 0.0528 0.9751  1 Pb 3.66
Rb 0.7435 0.3728 0.2384  6 Rb 4.72-5.07, 5 K 4.74-5.24
Rb 0.7616 0.2565 0.6272  6 Rb 4.72-5.07, 5 K 4.74-5.24
Rb 0.9472 0.0249 0.3084  1 Pb 3.66
Rb 0.9751 0.6916 0.0528  1 Pb 3.66
Pb 0.0000 0.0000 0.0000  6 Rb 3.66

Properties
D(E_F): 17.22 states/eV/cell
total magnetic moment: 0.000 Bohr magnetons per cell
formation enthalpy at 0 K: 0.707 eV per formula unit
space-group type: No. 148

Density functional theory data (PBE-GGA) for an optimized crystal structure of KRb2Pb.

a = 5.6882 Å, b = 8.7431 Å, c = 11.2758 Å
α = 94.21°, β = 104.50°, γ = 108.95°
With the nearest neighbours (Å) after each atom.
Positions (direct):
K 0.0398 0.4202 0.1605  4 Pb 3.76-3.79, 1 K 3.95
K 0.9602 0.5798 0.8395  4 Pb 3.76-3.79, 1 K 3.95
Rb 0.1812 0.2842 0.5746  1 Pb 3.88
Rb 0.3320 0.9945 0.1701  3 Pb 3.92-4.06
Rb 0.6680 0.0055 0.8299  3 Pb 3.92-4.06
Rb 0.8188 0.7158 0.4254  1 Pb 3.88
Pb 0.3801 0.3250 0.9344  1 Pb 3.00
Pb 0.6199 0.6750 0.0656  1 Pb 3.00

Properties
D(E_F): 5.12 states/eV/cell
total magnetic moment: 0.000 Bohr magnetons per cell
formation enthalpy at 0 K: -0.303 eV per formula unit
distance to the lowest polymorph of the same formula: 0.000 eV per atom
space-group type: No. 2

Density functional theory data (PBE-GGA) for an optimized crystal structure of K2Rb3Pb4.

a = 9.2642 Å, b = 9.2642 Å, c = 8.7134 Å
α = 116.52°, β = 116.52°, γ = 38.40°
With the nearest neighbours (Å) after each atom.
Positions (direct):
K 0.2396 0.2396 0.1338  6 Pb 3.71-3.98, 2 K 3.96, 2 Rb 3.96-4.15
K 0.7604 0.7604 0.8662  6 Pb 3.71-3.98, 2 K 3.96, 2 Rb 3.96-4.15
Rb 0.0474 0.0474 0.2522  7 Pb 3.74-4.05, 3 Rb 3.90-4.04, 1 K 3.96
Rb 0.5000 0.5000 0.5000  4 Pb 3.94-4.29, 4 Rb 4.04, 2 K 4.15
Rb 0.9526 0.9526 0.7478  7 Pb 3.74-4.05, 3 Rb 3.90-4.04, 1 K 3.96
Pb 0.2800 0.2800 0.5930  3 Pb 3.11-3.38
Pb 0.4086 0.4086 0.9904  2 Pb 3.11-3.12
Pb 0.5914 0.5914 0.0096  2 Pb 3.11-3.12
Pb 0.7200 0.7200 0.4070  3 Pb 3.11-3.38

Properties
D(E_F): 3.89 states/eV/cell
total magnetic moment: 0.000 Bohr magnetons per cell
formation enthalpy at 0 K: -0.941 eV per formula unit
space-group type: No. 12